Record 1
LaY2PdCl: relaxed, PBE-GGA.

abc: 5.066 5.066 5.400
angles: 90.00 90.00 90.00
Positions (direct):
La 0.000 0.000 0.000
Y 0.000 0.500 0.500
Y 0.500 0.000 0.500
Pd 0.500 0.500 0.000
Cl 0.000 0.000 0.500

calculated density = 5.496 g/cm³
D(E_F) = 1.182 states/eV per atom
ΔE_f (raw) = -0.41 eV per atom

Record 2
InGaAs2: relaxed, PBE-GGA.

abc: 9.725 9.725 9.725
angles: 19.76 19.76 19.76
Positions (direct):
In 0.000 0.000 0.000
Ga 0.500 0.500 0.500
As 0.105 0.105 0.105
As 0.895 0.895 0.895

calculated density = 6.038 g/cm³
formation enthalpy at 0 K = 0.182 eV per atom
D(E_F) = 0.374 states/eV per atom

Record 3
AcDy8Ho4: relaxed, PBE-GGA.

abc: 6.156 6.156 12.388
angles: 101.92 101.92 69.29
Positions (direct):
Ac 0.000 0.000 0.000
Dy 0.175 0.647 0.213
Dy 0.193 0.193 0.347
Dy 0.349 0.349 0.935
Dy 0.353 0.825 0.787
Dy 0.647 0.175 0.213
Dy 0.651 0.651 0.065
Dy 0.807 0.807 0.653
Dy 0.825 0.353 0.787
Ho 0.257 0.743 0.500
Ho 0.283 0.283 0.643
Ho 0.717 0.717 0.357
Ho 0.743 0.257 0.500

calculated density = 8.541 g/cm³
formation enthalpy at 0 K = 0.104 eV per atom
D(E_F) = 1.481 states/eV per atom

> Among the records above, which one has the lowest calculated density?

LaY2PdCl

> What is the formula in the third record?

AcDy8Ho4

> Which formula does entry 2 have?

InGaAs2

Copy entry 1 word for word.
LaY2PdCl: relaxed, PBE-GGA.

abc: 5.066 5.066 5.400
angles: 90.00 90.00 90.00
Positions (direct):
La 0.000 0.000 0.000
Y 0.000 0.500 0.500
Y 0.500 0.000 0.500
Pd 0.500 0.500 0.000
Cl 0.000 0.000 0.500

calculated density = 5.496 g/cm³
D(E_F) = 1.182 states/eV per atom
ΔE_f (raw) = -0.41 eV per atom